No. 1
Al2CoPd2: relaxed, PBE.

abc: 7.2549 7.2549 2.7936
angles: 90.00 90.00 90.00
Site moments in Bohr magnetons follow the coordinates.
Fractional positions:
Co 0.0000 0.0000 0.0000  1.63
Co 0.5000 0.5000 0.0000  1.63
Al 0.1617 0.6617 0.5000  0.00
Al 0.6617 0.8383 0.5000  0.00
Al 0.8383 0.3383 0.5000  0.00
Al 0.3383 0.1617 0.5000  0.00
Pd 0.3619 0.8619 0.0000  -0.02
Pd 0.8619 0.6381 0.0000  -0.02
Pd 0.6381 0.1381 0.0000  -0.02
Pd 0.1381 0.3619 0.0000  -0.02

Properties
Its relative energy among the computed polymorphs is 212 meV/atom. The value obtained for the density of states at the Fermi level is 5.200 states/eV per cell. Its calculated density is 7.4 g cm⁻³. As for the formation energy from the elements: -432 meV/atom. Its volume is 147.04 Å³ per cell.

No. 2
Al2Co2Pd: relaxed, PBE.

abc: 6.9018 6.9018 2.7279
angles: 90.00 90.00 90.00
Site moments in Bohr magnetons follow the coordinates.
Fractional positions:
Co 0.3821 0.8821 0.0000  0.65
Co 0.8821 0.6179 0.0000  0.65
Co 0.6179 0.1179 0.0000  0.65
Co 0.1179 0.3821 0.0000  0.66
Al 0.1782 0.6782 0.5000  -0.02
Al 0.6782 0.8218 0.5000  -0.02
Al 0.8218 0.3218 0.5000  -0.02
Al 0.3218 0.1782 0.5000  -0.02
Pd 0.0000 0.0000 0.0000  0.04
Pd 0.5000 0.5000 0.0000  0.04

Properties
Its relative energy among the computed polymorphs is 0 meV/atom. The value obtained for the density of states at the Fermi level is 7.789 states/eV per cell. Its calculated density is 7.1 g cm⁻³. As for the formation energy from the elements: -372 meV/atom. Its volume is 129.94 Å³ per cell.

No. 3
Al3CoPd2: relaxed, PBE.

abc: 2.9439 2.9439 9.4070
angles: 90.00 90.00 90.00
Site moments in Bohr magnetons follow the coordinates.
Fractional positions:
Al 0.0000 0.0000 0.0000  0.00
Al 0.0000 0.0000 0.6470  0.00
Al 0.0000 0.0000 0.3530  0.00
Co 0.5000 0.5000 0.5000  0.50
Pd 0.5000 0.5000 0.8234  0.01
Pd 0.5000 0.5000 0.1766  0.01

Properties
The value obtained for the density of states at the Fermi level is 2.770 states/eV per cell. Its calculated density is 7.2 g cm⁻³. As for the formation energy from the elements: -757 meV/atom. Its volume is 81.53 Å³ per cell.

No. 4
Al8CoPd2: relaxed, PBE.

abc: 4.1737 5.1206 8.7091
angles: 108.02 103.86 90.00
Fractional positions:
Al 0.4139 0.5367 0.8279
Al 0.6444 0.0195 0.2889
Al 0.7650 0.6790 0.5300
Al 0.9691 0.2069 0.9382
Al 0.2350 0.3210 0.4700
Al 0.3556 0.9805 0.7111
Al 0.5861 0.4633 0.1721
Al 0.0309 0.7931 0.0618
Co 0.5000 0.0000 0.0000
Pd 0.8165 0.2423 0.6330
Pd 0.1835 0.7577 0.3670

Properties
Its relative energy among the computed polymorphs is 0 meV/atom. The value obtained for the density of states at the Fermi level is 3.188 states/eV per cell. Its calculated density is 4.7 g cm⁻³. As for the formation energy from the elements: -451 meV/atom. Its volume is 171.28 Å³ per cell.

No. 5
Al8CoPd2: relaxed, PBE.

abc: 4.2719 7.5905 6.7523
angles: 124.20 108.44 90.00
Fractional positions:
Al 0.6477 0.8654 0.2955
Al 0.3523 0.5699 0.7045
Al 0.1314 0.1314 0.2628
Al 0.0000 0.3190 0.0000
Al 0.8686 0.8686 0.7372
Al 0.6477 0.4301 0.2955
Al 0.3523 0.1346 0.7045
Al 0.0000 0.6810 0.0000
Co 0.5000 0.0000 0.0000
Pd 0.2110 0.7110 0.4220
Pd 0.7890 0.2890 0.5780

Properties
Its relative energy among the computed polymorphs is 94 meV/atom. The value obtained for the density of states at the Fermi level is 4.364 states/eV per cell. Its calculated density is 4.8 g cm⁻³. As for the formation energy from the elements: -357 meV/atom. Its volume is 167.32 Å³ per cell.

No. 6
AlCo3Pd: relaxed, PBE.

abc: 4.2266 4.2266 4.2266
angles: 90.00 90.00 90.00
Site moments in Bohr magnetons follow the coordinates.
Fractional positions:
Co 0.0000 0.5000 0.0000  1.42
Co 0.0000 0.0000 0.5000  1.40
Co 0.5000 0.0000 0.0000  1.43
Al 0.0000 0.0000 0.0000  -0.06
Pd 0.5000 0.5000 0.5000  0.24

Properties
Its relative energy among the computed polymorphs is 0 meV/atom. The value obtained for the density of states at the Fermi level is 5.231 states/eV per cell. Its calculated density is 6.8 g cm⁻³. As for the formation energy from the elements: 981 meV/atom. Its volume is 75.51 Å³ per cell.

No. 7
AlCoPd: relaxed, PBE.

abc: 2.8693 2.8693 10.2526
angles: 98.04 98.04 90.00
Site moments in Bohr magnetons follow the coordinates.
Fractional positions:
Co 0.2836 0.2836 0.5673  1.32
Co 0.7164 0.7164 0.4327  1.32
Al 0.1429 0.1429 0.2857  -0.02
Al 0.8571 0.8571 0.7143  -0.02
Pd 0.5658 0.5658 0.1315  -0.03
Pd 0.4342 0.4342 0.8685  -0.03

Properties
The value obtained for the density of states at the Fermi level is 3.173 states/eV per cell. Its calculated density is 7.7 g cm⁻³. As for the formation energy from the elements: -447 meV/atom. Its volume is 82.74 Å³ per cell.

No. 8
AlCo3Pd: relaxed, PBE.

abc: 4.5394 4.5394 4.5394
angles: 90.00 90.00 90.00
Site moments in Bohr magnetons follow the coordinates.
Fractional positions:
Co 0.0000 0.5000 0.0000  1.92
Co 0.0000 0.0000 0.5000  2.67
Co 0.5000 0.0000 0.0000  1.28
Al 0.5000 0.5000 0.5000  0.00
Pd 0.0000 0.0000 0.0000  0.51

Properties
Its relative energy among the computed polymorphs is 320 meV/atom. The value obtained for the density of states at the Fermi level is 7.588 states/eV per cell. Its calculated density is 5.5 g cm⁻³. As for the formation energy from the elements: 1301 meV/atom. Its volume is 93.54 Å³ per cell.

No. 9
AlCo2Pd4: relaxed, PBE.

abc: 4.6170 4.6170 6.7842
angles: 70.11 70.11 90.00
Site moments in Bohr magnetons follow the coordinates.
Fractional positions:
Co 0.5972 0.5972 0.8056  2.07
Co 0.4028 0.4028 0.1944  2.07
Al 0.0000 0.0000 0.0000  0.01
Pd 0.8020 0.8020 0.3961  0.15
Pd 0.1980 0.1980 0.6039  0.15
Pd 0.0000 0.5000 0.0000  0.10
Pd 0.5000 0.0000 0.0000  0.10

Properties
The value obtained for the density of states at the Fermi level is 9.696 states/eV per cell. Its calculated density is 7.5 g cm⁻³. As for the formation energy from the elements: 507 meV/atom. Its volume is 126.77 Å³ per cell.

No. 10
Al2Co2Pd: relaxed, PBE.

abc: 6.7947 6.7947 2.7787
angles: 90.00 90.00 90.00
Fractional positions:
Co 0.1509 0.6509 0.5000
Co 0.6509 0.8491 0.5000
Co 0.8491 0.3491 0.5000
Co 0.3491 0.1509 0.5000
Al 0.3556 0.8556 0.0000
Al 0.8556 0.6444 0.0000
Al 0.6444 0.1444 0.0000
Al 0.1444 0.3556 0.0000
Pd 0.0000 0.0000 0.0000
Pd 0.5000 0.5000 0.0000

Properties
Its relative energy among the computed polymorphs is 7 meV/atom. The value obtained for the density of states at the Fermi level is 7.200 states/eV per cell. Its calculated density is 7.2 g cm⁻³. As for the formation energy from the elements: -365 meV/atom. Its volume is 128.29 Å³ per cell.

No. 11
Al2CoPd2: relaxed, PBE.

abc: 2.8848 2.8764 8.4833
angles: 80.24 90.00 90.00
Fractional positions:
Al 0.5000 0.4143 0.1714
Al 0.5000 0.5857 0.8286
Co 0.0000 0.0000 0.0000
Pd 0.0000 0.1781 0.6437
Pd 0.0000 0.8219 0.3563

Properties
Its relative energy among the computed polymorphs is 0 meV/atom. The value obtained for the density of states at the Fermi level is 1.978 states/eV per cell. Its calculated density is 7.8 g cm⁻³. As for the formation energy from the elements: -644 meV/atom. Its volume is 69.37 Å³ per cell.

No. 12
Pm2Al6CoPd: relaxed, PBE.

abc: 6.5673 6.5761 6.5983
angles: 59.86 59.95 89.98
Fractional positions:
Pm 0.2498 0.7502 0.4999
Pm 0.7502 0.2498 0.5001
Al 0.2589 0.7411 0.9999
Al 0.7410 0.7409 0.0002
Al 0.2592 0.2591 0.4822
Al 0.7411 0.2589 0.0001
Al 0.2590 0.2591 0.9998
Al 0.7408 0.7409 0.5178
Co 0.5000 0.5000 0.0000
Pd 0.0000 0.0000 0.0000

Properties
The value obtained for the density of states at the Fermi level is 5.949 states/eV per cell. Its calculated density is 5.1 g cm⁻³. As for the formation energy from the elements: -373 meV/atom. Its volume is 200.94 Å³ per cell.

No. 13
AlCoPdS2: relaxed, PBE.

abc: 4.4911 4.5359 4.4911
angles: 90.00 90.00 90.00
Site moments in Bohr magnetons follow the coordinates.
Fractional positions:
S 0.0000 0.0000 0.5000  0.04
S 0.5000 0.0000 0.0000  0.07
Co 0.0000 0.5000 0.0000  1.46
Al 0.0000 0.0000 0.0000  -0.03
Pd 0.5000 0.5000 0.5000  0.07

Properties
The value obtained for the density of states at the Fermi level is 5.287 states/eV per cell. The value obtained for the formation energy (no corrections) is 0.67 eV/atom. Its calculated density is 4.7 g cm⁻³. Its volume is 91.49 Å³ per cell.